No. 1
Computed, not measured: In2MoRh after structural relaxation at the PBE level of DFT.

a b c (Å): 7.4625 7.4625 5.9905
angles (deg): 51.47 51.47 90.00
With the nearest neighbours (Å) after each atom.
Element x y z (fractional)
In1 0.1070 0.6250 0.2500  2 Rh 2.64, 2 Mo 2.83, 2 In 2.85
In2 0.6430 0.1250 0.2500  2 Rh 2.64, 2 Mo 2.83, 2 In 2.85
In3 0.8750 0.8930 0.7500  2 Rh 2.64, 2 Mo 2.83, 2 In 2.85
In4 0.3750 0.3570 0.7500  2 Rh 2.64, 2 Mo 2.83, 2 In 2.85
Mo1 0.2500 0.7500 0.5000  4 In 2.83, 2 Rh 2.84
Mo2 0.5000 0.5000 0.0000  4 In 2.83, 2 Rh 2.84
Rh1 0.0000 0.0000 0.0000  4 In 2.64, 2 Mo 2.84
Rh2 0.7500 0.2500 0.5000  4 In 2.64, 2 Mo 2.84

Calculated values
Energy above the most stable polymorph in this dataset   494 meV per atom
Electronic total energy   -5.3745 eV per atom
Space-group type   I-42d, No. 122

=====

No. 2
Computed, not measured: Al2PtPb after structural relaxation at the PBE level of DFT.

a b c (Å): 5.3959 5.3959 3.7000
angles (deg): 71.70 71.70 113.23
With the nearest neighbours (Å) after each atom.
Element x y z (fractional)
Pt1 0.0000 0.5000 0.5000  4 Al 2.75, 2 Pb 2.97
Al1 0.0000 0.0000 0.0000  2 Pb 2.75, 2 Pt 2.75, 2 Al 2.97
Al2 0.5000 0.5000 0.0000  2 Pt 2.75, 2 Pb 2.75, 2 Al 2.97
Pb1 0.5000 0.0000 0.5000  4 Al 2.75, 2 Pt 2.97

Calculated values
Electronic total energy   -4.2451 eV per atom
Space-group type   C2/m, No. 12

=====

No. 3
Computed, not measured: Cr3SCl after structural relaxation at the PBE level of DFT.

a b c (Å): 4.2426 4.2426 4.2426
angles (deg): 90.00 90.00 90.00
With the nearest neighbours (Å) after each atom.
Element x y z (fractional)
Cl1 0.5000 0.5000 0.5000  12 Cr 3.00
S1 0.0000 0.0000 0.0000  6 Cr 2.12
Cr1 0.0000 0.0000 0.5000  2 S 2.12
Cr2 0.5000 0.0000 0.0000  2 S 2.12
Cr3 0.0000 0.5000 0.0000  2 S 2.12

Calculated values
Energy relative to the elements, uncorrected   873 meV per atom
Energy above the most stable polymorph in this dataset   0 meV per atom
Electronic total energy   -6.0955 eV per atom
Space-group type   Pm-3m, No. 221

=====

No. 4
Computed, not measured: Ca2RuBr after structural relaxation at the PBE level of DFT.

a b c (Å): 3.7351 3.7351 8.5209
angles (deg): 77.32 77.32 60.06
With the nearest neighbours (Å) after each atom.
Element x y z (fractional)
Ca1 0.0084 0.0084 0.9749  3 Ru 2.84, 3 Br 3.13
Ca2 0.4916 0.4916 0.5251  3 Ru 2.84, 3 Br 3.13
Br1 0.2500 0.2500 0.2500  6 Ca 3.13
Ru1 0.7500 0.7500 0.7500  6 Ca 2.84

Calculated values
Energy relative to the elements, uncorrected   -460 meV per atom
Energy above the most stable polymorph in this dataset   49 meV per atom
Electronic total energy   -4.1979 eV per atom
Space-group type   R-3m, No. 166